Record 1
Zr2MnCu (PBE-GGA, relaxed); calculated volume = 18.1 Å³/atom; energy of formation = 244 meV/atom
1.0
-3.207 2.007 2.168
-2.795 -1.014 3.189
2.746 1.924 4.586
Mn Zr Cu
1 2 1
Direct
0.250 0.250 0.250 Mn
0.000 0.000 0.010 Zr
0.500 0.500 0.490 Zr
0.750 0.750 0.750 Cu

***

Record 2
Tm6Al2Tl (PBE-GGA, relaxed); calculated volume = 30.0 Å³/atom; energy of formation = -25 meV/atom
1.0
5.020 0.000 -0.192
0.000 7.124 0.000
-2.220 -3.562 7.629
Al Tm Tl
2 6 1
Direct
0.333 0.333 0.666 Al
0.667 0.667 0.334 Al
0.169 0.916 0.339 Tm
0.500 0.742 0.000 Tm
0.831 0.084 0.661 Tm
0.500 0.258 0.000 Tm
0.169 0.424 0.339 Tm
0.831 0.576 0.661 Tm
0.000 0.000 0.000 Tl

***

- What is the formula in the second record?
  Tm6Al2Tl

***

- What is the energy of formation in the first record?
  244 meV/atom